1.
FeP2PbO8: optimized geometry, PBE+U.

POSCAR file:
```
FeP2PbO8
1.0
4.7408 0.0000 0.0000
2.3704 4.1057 0.0000
2.3704 1.3686 7.5205
Fe O Pb P
1 8 1 2
Direct
0.0000 0.0000 0.0000 Fe
0.8064 0.8064 0.5808 O
0.9861 0.6086 0.1509 O
0.0139 0.3914 0.8491 O
0.1936 0.1936 0.4192 O
0.2543 0.9861 0.1509 O
0.6086 0.2543 0.1509 O
0.7457 0.0139 0.8491 O
0.3914 0.7457 0.8491 O
0.5000 0.5000 0.5000 Pb
0.2620 0.2620 0.2141 P
0.7380 0.7380 0.7859 P
```

Total energy ... -6.62 eV/atom
Crystal system ... trigonal
Spin magnetization ... 2.006 μB/cell

***

2.
FeP2PdO: optimized geometry, PBE+U.

POSCAR file:
```
FeP2PdO
1.0
4.7189 0.0000 0.0000
0.0000 4.7189 0.0000
0.0000 0.0000 3.4713
P Pd Fe O
2 1 1 1
Direct
0.5000 0.0000 0.0000 P
0.0000 0.5000 0.0000 P
0.5000 0.5000 0.5000 Pd
0.0000 0.0000 0.0000 Fe
0.0000 0.0000 0.5000 O
```

Polymorph energy (0 for the lowest one) ... 0.000 eV per atom
Crystal system ... tetragonal
Spin magnetization ... 3.048 μB/cell

***

Results for density of states at the Fermi level: 2.44; 3.77 (in states/eV per cell, following the order of the records).
Results for density: 5.139; 5.160 (in g/cm³, following the order of the records).